Entry from Alexandria via LeMat-Bulk: a relaxed K3Ir crystal (PBE-GGA).

Cell: 5.123 5.123 5.126 Å, 90.00 90.00 90.00°
Fractional coordinates of all 4 atoms:
K1 0.000 0.000 0.000
K2 0.000 0.500 0.501
K3 0.500 0.000 0.499
Ir1 0.500 0.500 0.000

volume	33.638	Å³ per atom
SG	P-4m2
calculated total energy	-2.217	eV per atom
spin magnetization	0.71	Bohr magnetons per cell
relative energy among the computed polymorphs	151	meV per atom


Entry from Alexandria via LeMat-Bulk: a relaxed KTeH4 crystal (PBE-GGA).

Cell: 3.864 5.123 5.550 Å, 72.39 87.55 86.88°
Fractional coordinates of all 6 atoms:
K1 0.000 0.000 0.000
Te1 0.535 0.696 0.629
H1 0.459 0.235 0.268
H2 0.460 0.346 0.139
H3 0.921 0.898 0.495
H4 0.931 0.529 0.804

volume	17.421	Å³ per atom
SG	P1
calculated total energy	-2.931	eV per atom
spin magnetization	0.00	Bohr magnetons per cell


Entry from Alexandria via LeMat-Bulk: a relaxed LaDy4Er15 crystal (PBE-GGA).

Cell: 4.988 4.988 24.931 Å, 90.00 90.00 90.00°
Fractional coordinates of all 20 atoms:
La1 0.000 0.000 0.000
Dy1 0.000 0.000 0.201
Dy2 0.000 0.000 0.401
Dy3 0.000 0.000 0.599
Dy4 0.000 0.000 0.799
Er1 0.000 0.500 0.103
Er2 0.000 0.500 0.301
Er3 0.000 0.500 0.500
Er4 0.000 0.500 0.699
Er5 0.000 0.500 0.897
Er6 0.500 0.000 0.103
Er7 0.500 0.000 0.301
Er8 0.500 0.000 0.500
Er9 0.500 0.000 0.699
Er10 0.500 0.000 0.897
Er11 0.500 0.500 0.000
Er12 0.500 0.500 0.202
Er13 0.500 0.500 0.401
Er14 0.500 0.500 0.599
Er15 0.500 0.500 0.798

volume	31.019	Å³ per atom
SG	P4/mmm
calculated total energy	-4.564	eV per atom
spin magnetization	0.00	Bohr magnetons per cell


> What is the calculated total energy in the third record?

-4.564 eV per atom